(1)
A relaxed structure of CaTaSe2, computed with GGA-PBEsol.

Summary:
Space-group type: R-3m (166)
Theoretical density: 7.66 g/cm3
Energy: -6.507 eV per atom

a b c (Å): 3.8183 3.8183 6.8696
angles (deg): 73.86 73.86 60.00
Fractional positions:
Se  0.7418  0.7418  0.7747
Se  0.2582  0.2582  0.2253
Ca  0.5000  0.5000  0.5000
Ta  0.0000  0.0000  0.0000

=====

(2)
A relaxed structure of KZr2Bi2, computed with GGA-PBEsol.

Summary:
Space-group type: I4/mmm (139)
Theoretical density: 6.81 g/cm3
Calculated formation energy: -0.200 eV/atom

a b c (Å): 4.6660 4.6660 7.8813
angles (deg): 107.22 107.22 90.00
Fractional positions:
Bi  0.6236  0.6236  0.2472
Zr  0.2500  0.7500  0.5000
Bi  0.3764  0.3764  0.7528
Zr  0.7500  0.2500  0.5000
K  0.0000  0.0000  0.0000

=====

(3)
A relaxed structure of RbNiSe2N, computed with GGA-PBEsol.

Summary:
Space-group type: P4/mmm (123)
Theoretical density: 5.27 g/cm3
Energy: -4.499 eV per atom

a b c (Å): 3.3642 5.4433 5.4433
angles (deg): 90.00 90.00 90.00
Fractional positions:
Se  0.0000  0.5000  0.0000
Se  0.0000  0.0000  0.5000
Ni  0.0000  0.0000  0.0000
N  0.5000  0.0000  0.0000
Rb  0.5000  0.5000  0.5000

=====

(4)
A relaxed structure of P2RhBr, computed with GGA-PBEsol.

Summary:
Space-group type: C2/m (12)
Theoretical density: 5.02 g/cm3
Energy: -5.637 eV per atom

a b c (Å): 3.4643 3.8692 7.1673
angles (deg): 107.48 90.00 116.59
Fractional positions:
P  0.6432  0.2864  0.8629
P  0.3568  0.7136  0.1371
Rh  0.0000  0.0000  0.0000
Br  0.5000  0.0000  0.5000

=====

(5)
A relaxed structure of LiTiBi2, computed with GGA-PBEsol.

Summary:
Space-group type: Fm-3m (225)
Theoretical density: 8.72 g/cm3
Calculated formation energy: -0.090 eV/atom

a b c (Å): 5.0300 5.0300 5.0300
angles (deg): 60.00 60.00 60.00
Site moments in Bohr magnetons follow the coordinates.
Fractional positions:
Bi  0.7500  0.7500  0.7500  -0.02
Bi  0.2500  0.2500  0.2500  -0.02
Li  0.0000  0.0000  0.0000  0.00
Ti  0.5000  0.5000  0.5000  0.39

=====

(6)
A relaxed structure of Cs2LiCl3, computed with GGA-PBEsol.

Summary:
Space-group type: Cmcm (63)
Theoretical density: 3.46 g/cm3
Energy: -3.557 eV per atom

a b c (Å): 4.1814 7.5825 11.6704
angles (deg): 90.00 100.32 90.00
Fractional positions:
Cl  0.5881  0.0020  0.1762
Li  0.6491  0.7500  0.2983
Cl  0.4119  0.5020  0.8238
Cs  0.8223  0.7500  0.6447
Cs  0.9955  0.2500  0.9911
Cl  0.4119  0.9980  0.8238
Cs  0.1777  0.2500  0.3553
Cl  0.5881  0.4980  0.1762
Li  0.3509  0.2500  0.7017
Cl  0.2026  0.7500  0.4052
Cs  0.0045  0.7500  0.0089
Cl  0.7974  0.2500  0.5948

=====

(7)
A relaxed structure of Sc4CdNi, computed with GGA-PBEsol.

Summary:
Space-group type: F-43m (216)
Theoretical density: 4.79 g/cm3
Calculated formation energy: 0.406 eV/atom

a b c (Å): 5.5617 5.5617 5.5617
angles (deg): 60.00 60.00 60.00
Fractional positions:
Sc  0.3743  0.8771  0.3743
Sc  0.3743  0.3743  0.8771
Cd  0.7500  0.7500  0.7500
Sc  0.8771  0.3743  0.3743
Ni  0.0000  0.0000  0.0000
Sc  0.3743  0.3743  0.3743

=====

(8)
A relaxed structure of TlWSe2, computed with GGA-PBEsol.

Summary:
Space-group type: P4mm (99)
Theoretical density: 11.18 g/cm3
Energy: -5.661 eV per atom

a b c (Å): 3.4132 3.4132 6.9615
angles (deg): 90.00 90.00 90.00
Fractional positions:
Tl  0.0000  0.0000  0.5123
W  0.5000  0.5000  0.8258
Se  0.5000  0.5000  0.1979
Se  0.0000  0.0000  0.9639

=====

(9)
A relaxed structure of PbWN2F, computed with GGA-PBEsol.

Summary:
Space-group type: P4/mmm (123)
Theoretical density: 10.00 g/cm3
Energy: -5.588 eV per atom

a b c (Å): 3.6772 4.4469 4.4469
angles (deg): 90.00 90.00 90.00
Site moments in Bohr magnetons follow the coordinates.
Fractional positions:
Pb  0.5000  0.5000  0.5000  -0.02
N  0.0000  0.0000  0.5000  0.73
N  0.0000  0.5000  0.0000  0.73
F  0.0000  0.0000  0.0000  0.12
W  0.5000  0.0000  0.0000  -0.40

=====

(10)
A relaxed structure of Y3FeAg, computed with GGA-PBEsol.

Summary:
Space-group type: Pm-3m (221)
Theoretical density: 5.56 g/cm3
Calculated formation energy: 0.115 eV/atom

a b c (Å): 5.0468 5.0468 5.0468
angles (deg): 90.00 90.00 90.00
Fractional positions:
Y  0.0000  0.5000  0.0000
Y  0.0000  0.0000  0.5000
Fe  0.0000  0.0000  0.0000
Y  0.5000  0.0000  0.0000
Ag  0.5000  0.5000  0.5000

=====

(11)
A relaxed structure of MgSc8, computed with GGA-PBEsol.

Summary:
Space-group type: I4/mmm (139)
Theoretical density: 3.01 g/cm3
Calculated formation energy: 0.046 eV/atom

a b c (Å): 4.5756 7.1774 7.1774
angles (deg): 84.17 71.41 71.41
Fractional positions:
Sc  0.0000  0.3349  0.6651
Sc  0.3318  0.3365  0.0000
Sc  0.0000  0.6651  0.3349
Sc  0.6682  0.0000  0.6635
Sc  0.3349  0.6651  0.6651
Mg  0.0000  0.0000  0.0000
Sc  0.6682  0.6635  0.0000
Sc  0.6651  0.3349  0.3349
Sc  0.3318  0.0000  0.3365

=====

(12)
A relaxed structure of LiTi2Ir2, computed with GGA-PBEsol.

Summary:
Space-group type: P4/mbm (127)
Theoretical density: 10.30 g/cm3
Calculated formation energy: -0.581 eV/atom

a b c (Å): 2.8793 7.3865 7.3865
angles (deg): 90.00 90.00 90.00
Fractional positions:
Ir  0.0000  0.1430  0.3570
Ti  0.5000  0.1527  0.6527
Li  0.0000  0.5000  0.5000
Ti  0.5000  0.3473  0.1527
Ir  0.0000  0.8570  0.6430
Ir  0.0000  0.3570  0.8570
Ti  0.5000  0.8473  0.3473
Ir  0.0000  0.6430  0.1430
Ti  0.5000  0.6527  0.8473
Li  0.0000  0.0000  0.0000